1.
Below is a crystal of Cd4In relaxed with PBEsol, with properties calculated at the meta-GGA SCAN level.

## Properties
- Magnetic moment: 0.000 μB per formula unit
- Offset from the most stable computed form: 3.9 kJ/mol of atoms
- Energy of formation from the pure elements: 0.0788 eV/atom
- Crystal system: cubic

Cell lengths 8.4927, 8.4927, 8.4927 Å; angles 109.47, 109.47, 109.47 degrees
Fractional coordinates of all 20 atoms:
Cd 0.0000 0.0000 0.3196
Cd 0.0000 0.3196 0.0000
Cd 0.0000 0.3454 0.3454
Cd 0.0000 0.6546 0.6546
Cd 0.2500 0.5000 0.7500
Cd 0.2500 0.7500 0.5000
Cd 0.3196 0.0000 0.0000
Cd 0.3454 0.0000 0.3454
Cd 0.3454 0.3454 0.0000
Cd 0.5000 0.2500 0.7500
Cd 0.5000 0.7500 0.2500
Cd 0.6546 0.0000 0.6546
Cd 0.6546 0.6546 0.0000
Cd 0.6804 0.6804 0.6804
Cd 0.7500 0.2500 0.5000
Cd 0.7500 0.5000 0.2500
In 0.0000 0.0000 0.6522
In 0.0000 0.6522 0.0000
In 0.3478 0.3478 0.3478
In 0.6522 0.0000 0.0000

=====

2.
Below is a crystal of Cd8In relaxed with PBEsol, with properties calculated at the meta-GGA SCAN level.

## Properties
- Magnetic moment: 0.000 μB per formula unit
- Energy of formation from the pure elements: 0.0304 eV/atom
- Crystal system: tetragonal

Cell lengths 6.9623, 6.9623, 6.9623 Å; angles 95.71, 95.71, 143.22 degrees
Fractional coordinates of all 9 atoms:
Cd 0.0000 0.3361 0.3361
Cd 0.0000 0.6639 0.6639
Cd 0.3304 0.3304 0.6609
Cd 0.3304 0.6696 0.0000
Cd 0.3361 0.0000 0.3361
Cd 0.6639 0.0000 0.6639
Cd 0.6696 0.3304 0.0000
Cd 0.6696 0.6696 0.3392
In 0.0000 0.0000 0.0000

=====

3.
Below is a crystal of CdIn2 relaxed with PBEsol, with properties calculated at the meta-GGA SCAN level.

## Properties
- Magnetic moment: 0.000 μB per formula unit
- Energy of formation from the pure elements: 0.0726 eV/atom
- Crystal system: orthorhombic

Cell lengths 6.5647, 4.5852, 9.4926 Å; angles 90.00, 90.00, 90.00 degrees
Fractional coordinates of all 12 atoms:
Cd 0.1259 0.2500 0.0819
Cd 0.3741 0.7500 0.5819
Cd 0.6259 0.2500 0.4181
Cd 0.8741 0.7500 0.9181
In 0.1187 0.2500 0.7550
In 0.1286 0.2500 0.4179
In 0.3714 0.7500 0.9179
In 0.3813 0.7500 0.2550
In 0.6187 0.2500 0.7450
In 0.6286 0.2500 0.0821
In 0.8714 0.7500 0.5821
In 0.8813 0.7500 0.2450

=====

4.
Below is a crystal of Cd7In relaxed with PBEsol, with properties calculated at the meta-GGA SCAN level.

## Properties
- Magnetic moment: 0.000 μB per formula unit
- Energy of formation from the pure elements: 0.0367 eV/atom
- Crystal system: cubic

Cell lengths 6.2292, 6.2292, 6.2292 Å; angles 60.00, 60.00, 60.00 degrees
Fractional coordinates of all 8 atoms:
Cd 0.0000 0.0000 0.0000
Cd 0.0000 0.0000 0.5000
Cd 0.0000 0.5000 0.0000
Cd 0.0000 0.5000 0.5000
Cd 0.5000 0.0000 0.0000
Cd 0.5000 0.0000 0.5000
Cd 0.5000 0.5000 0.0000
In 0.5000 0.5000 0.5000

=====

5.
Below is a crystal of CdIn2 relaxed with PBEsol, with properties calculated at the meta-GGA SCAN level.

## Properties
- Magnetic moment: 0.000 μB per formula unit
- Energy of formation from the pure elements: 0.0489 eV/atom
- Crystal system: tetragonal

Cell lengths 14.4872, 14.4872, 14.4872 Å; angles 167.41, 167.41, 17.85 degrees
Fractional coordinates of all 6 atoms:
Cd 0.3750 0.6250 0.7500
Cd 0.6250 0.3750 0.2500
In 0.0471 0.7971 0.2500
In 0.2029 0.9529 0.2500
In 0.7971 0.0471 0.7500
In 0.9529 0.2029 0.7500

=====

6.
Below is a crystal of CdIn2 relaxed with PBEsol, with properties calculated at the meta-GGA SCAN level.

## Properties
- Magnetic moment: 0.000 μB per formula unit
- Energy of formation from the pure elements: 0.0723 eV/atom
- Crystal system: orthorhombic

Cell lengths 5.6261, 5.6261, 5.6261 Å; angles 146.61, 132.64, 59.18 degrees
Fractional coordinates of all 3 atoms:
Cd 0.0000 0.0000 0.0000
In 0.3371 0.3371 0.0000
In 0.6629 0.6629 0.0000

=====

7.
Below is a crystal of CdIn2 relaxed with PBEsol, with properties calculated at the meta-GGA SCAN level.

## Properties
- Magnetic moment: 0.000 μB per formula unit
- Energy of formation from the pure elements: 0.0912 eV/atom
- Crystal system: orthorhombic

Cell lengths 8.2053, 8.2053, 5.3192 Å; angles 90.00, 90.00, 156.16 degrees
Fractional coordinates of all 6 atoms:
Cd 0.1081 0.8919 0.7500
Cd 0.8919 0.1081 0.2500
In 0.2263 0.7737 0.2500
In 0.4424 0.5576 0.7500
In 0.5576 0.4424 0.2500
In 0.7737 0.2263 0.7500

=====

8.
Below is a crystal of CdIn2 relaxed with PBEsol, with properties calculated at the meta-GGA SCAN level.

## Properties
- Magnetic moment: 0.000 μB per formula unit
- Energy of formation from the pure elements: 0.0903 eV/atom
- Crystal system: monoclinic

Cell lengths 6.0544, 6.0544, 7.9517 Å; angles 108.40, 108.40, 31.66 degrees
Fractional coordinates of all 6 atoms:
Cd 0.0295 0.0295 0.2942
Cd 0.9705 0.9705 0.7058
In 0.3193 0.3193 0.3745
In 0.3586 0.3586 0.9661
In 0.6414 0.6414 0.0339
In 0.6807 0.6807 0.6255

=====

9.
Below is a crystal of CdIn3 relaxed with PBEsol, with properties calculated at the meta-GGA SCAN level.

## Properties
- Magnetic moment: 0.000 μB per formula unit
- Energy of formation from the pure elements: 0.1028 eV/atom
- Crystal system: trigonal

Cell lengths 6.0084, 6.0084, 6.0084 Å; angles 116.80, 116.80, 116.80 degrees
Fractional coordinates of all 4 atoms:
Cd 0.0000 0.0000 0.0000
In 0.0000 0.5000 0.5000
In 0.5000 0.0000 0.5000
In 0.5000 0.5000 0.0000

=====

10.
Below is a crystal of Cd2In3 relaxed with PBEsol, with properties calculated at the meta-GGA SCAN level.

## Properties
- Magnetic moment: 0.001 μB per formula unit
- Offset from the most stable computed form: 3.9 kJ/mol of atoms
- Energy of formation from the pure elements: 0.0859 eV/atom
- Crystal system: trigonal

Cell lengths 4.6572, 4.6572, 6.8339 Å; angles 90.00, 90.00, 120.00 degrees
Fractional coordinates of all 5 atoms:
Cd 0.3333 0.6667 0.3152
Cd 0.6667 0.3333 0.6848
In 0.0000 0.0000 0.5000
In 0.3333 0.6667 0.8644
In 0.6667 0.3333 0.1356

=====

11.
Below is a crystal of CdIn3 relaxed with PBEsol, with properties calculated at the meta-GGA SCAN level.

## Properties
- Magnetic moment: 0.000 μB per formula unit
- Energy of formation from the pure elements: 0.0741 eV/atom
- Crystal system: orthorhombic

Cell lengths 5.7600, 5.7600, 3.1641 Å; angles 90.00, 90.00, 112.70 degrees
Fractional coordinates of all 4 atoms:
Cd 0.0000 0.0000 0.0000
In 0.0000 0.5000 0.5000
In 0.5000 0.0000 0.5000
In 0.5000 0.5000 0.0000

=====

12.
Below is a crystal of CdIn3 relaxed with PBEsol, with properties calculated at the meta-GGA SCAN level.

## Properties
- Magnetic moment: 0.000 μB per formula unit
- Energy of formation from the pure elements: 0.0989 eV/atom
- Crystal system: monoclinic

Cell lengths 3.1103, 5.2861, 6.0398 Å; angles 90.00, 96.76, 90.00 degrees
Fractional coordinates of all 4 atoms:
Cd 0.0000 0.0000 0.0000
In 0.1948 0.5000 0.7545
In 0.5000 0.0000 0.5000
In 0.8052 0.5000 0.2455

=====

13.
Below is a crystal of CdIn2 relaxed with PBEsol, with properties calculated at the meta-GGA SCAN level.

## Properties
- Magnetic moment: 0.000 μB per formula unit
- Energy of formation from the pure elements: 0.1073 eV/atom
- Crystal system: trigonal

Cell lengths 5.0794, 5.0794, 3.2754 Å; angles 90.00, 90.00, 120.00 degrees
Fractional coordinates of all 3 atoms:
Cd 0.0000 0.0000 0.0000
In 0.3333 0.6667 0.2888
In 0.6667 0.3333 0.7112

=====

14.
Below is a crystal of CdIn2 relaxed with PBEsol, with properties calculated at the meta-GGA SCAN level.

## Properties
- Magnetic moment: 0.000 μB per formula unit
- Energy of formation from the pure elements: 0.0709 eV/atom
- Crystal system: orthorhombic

Cell lengths 5.3124, 5.3124, 5.3124 Å; angles 145.96, 117.68, 72.95 degrees
Fractional coordinates of all 3 atoms:
Cd 0.0000 0.0000 0.0000
In 0.3179 0.8179 0.5000
In 0.6821 0.1821 0.5000

=====

15.
Below is a crystal of CdIn2 relaxed with PBEsol, with properties calculated at the meta-GGA SCAN level.

## Properties
- Magnetic moment: 0.000 μB per formula unit
- Energy of formation from the pure elements: 0.0630 eV/atom
- Crystal system: tetragonal

Cell lengths 5.8050, 5.8050, 5.8050 Å; angles 104.11, 104.11, 120.83 degrees
Fractional coordinates of all 6 atoms:
Cd 0.2500 0.2500 0.0000
Cd 0.7500 0.7500 0.0000
In 0.1494 0.6494 0.7987
In 0.3506 0.1494 0.5000
In 0.6494 0.8506 0.5000
In 0.8506 0.3506 0.2013

=====

16.
Below is a crystal of CdIn3 relaxed with PBEsol, with properties calculated at the meta-GGA SCAN level.

## Properties
- Magnetic moment: 0.000 μB per formula unit
- Energy of formation from the pure elements: 0.0844 eV/atom
- Crystal system: hexagonal

Cell lengths 3.2342, 3.2342, 10.7649 Å; angles 90.00, 90.00, 120.00 degrees
Fractional coordinates of all 4 atoms:
Cd 0.0000 0.0000 0.0000
In 0.0000 0.0000 0.5000
In 0.3333 0.6667 0.2403
In 0.3333 0.6667 0.7597

=====

17.
Below is a crystal of Cd4In relaxed with PBEsol, with properties calculated at the meta-GGA SCAN level.

## Properties
- Magnetic moment: 0.000 μB per formula unit
- Offset from the most stable computed form: 0.0 kJ/mol of atoms
- Energy of formation from the pure elements: 0.0381 eV/atom
- Crystal system: tetragonal

Cell lengths 5.4249, 5.4249, 5.4249 Å; angles 99.48, 99.48, 132.11 degrees
Fractional coordinates of all 5 atoms:
Cd 0.0965 0.6974 0.7940
Cd 0.3026 0.0965 0.3991
Cd 0.6974 0.9035 0.6009
Cd 0.9035 0.3026 0.2060
In 0.5000 0.5000 0.0000

=====

18.
Below is a crystal of CdIn2 relaxed with PBEsol, with properties calculated at the meta-GGA SCAN level.

## Properties
- Magnetic moment: 0.000 μB per formula unit
- Energy of formation from the pure elements: 0.0693 eV/atom
- Crystal system: tetragonal

Cell lengths 7.2711, 7.2711, 7.2711 Å; angles 154.47, 154.47, 36.42 degrees
Fractional coordinates of all 3 atoms:
Cd 0.0000 0.0000 0.0000
In 0.3380 0.3380 0.0000
In 0.6620 0.6620 0.0000

=====

19.
Below is a crystal of CdIn3 relaxed with PBEsol, with properties calculated at the meta-GGA SCAN level.

## Properties
- Magnetic moment: 0.000 μB per formula unit
- Energy of formation from the pure elements: 0.0826 eV/atom
- Crystal system: hexagonal

Cell lengths 6.4704, 6.4704, 10.6932 Å; angles 90.00, 90.00, 120.00 degrees
Fractional coordinates of all 16 atoms:
Cd 0.0000 0.0000 0.0000
Cd 0.0000 0.0000 0.5000
Cd 0.3333 0.6667 0.2500
Cd 0.6667 0.3333 0.7500
In 0.0000 0.5000 0.0000
In 0.0000 0.5000 0.5000
In 0.1653 0.3307 0.7500
In 0.1653 0.8347 0.7500
In 0.3307 0.1653 0.2500
In 0.5000 0.0000 0.0000
In 0.5000 0.0000 0.5000
In 0.5000 0.5000 0.0000
In 0.5000 0.5000 0.5000
In 0.6693 0.8347 0.7500
In 0.8347 0.1653 0.2500
In 0.8347 0.6693 0.2500

=====

20.
Below is a crystal of CdIn3 relaxed with PBEsol, with properties calculated at the meta-GGA SCAN level.

## Properties
- Magnetic moment: 0.000 μB per formula unit
- Energy of formation from the pure elements: 0.1020 eV/atom
- Crystal system: cubic

Cell lengths 5.1823, 5.1823, 5.1823 Å; angles 60.00, 60.00, 60.00 degrees
Fractional coordinates of all 4 atoms:
Cd 0.0000 0.0000 0.0000
In 0.2500 0.2500 0.2500
In 0.5000 0.5000 0.5000
In 0.7500 0.7500 0.7500